DFT (PBE) results for a relaxed structure of Na3Tb3PtO8.

Results
Formation energy from raw total energies: -2.33 eV per atom

a b c (Å): 6.7465 6.7464 6.7915
angles (deg): 119.78 90.00 120.00
Closest atoms and distances in Å follow each position.
Sites, in units of the cell vectors:
Na 0.0000 0.0000 0.0000  6 O 2.50-2.53
Na 0.0000 0.5000 0.0000  6 O 2.50-2.53
Na 0.5000 0.5000 0.0000  6 O 2.50-2.53
Tb 0.5000 0.0000 0.5000  6 O 2.27-2.33
Tb 0.5000 0.5000 0.5000  6 O 2.27-2.33
Tb 0.0000 0.5000 0.5000  6 O 2.27-2.33
Pt 0.0000 0.0000 0.5000  6 O 2.11
O 0.2636 0.5272 0.2908  3 Tb 2.27, 3 Na 2.53
O 0.7364 0.4728 0.7092  3 Tb 2.27, 3 Na 2.53
O 0.7796 0.5592 0.2972  1 Pt 2.11, 2 Tb 2.33
O 0.2204 0.4408 0.7028  1 Pt 2.11, 2 Tb 2.33
O 0.7796 0.0177 0.2972  1 Pt 2.11, 2 Tb 2.32-2.33
O 0.2204 0.9823 0.7028  1 Pt 2.11, 2 Tb 2.32-2.33
O 0.2381 0.0177 0.2972  1 Pt 2.11, 2 Tb 2.32-2.33
O 0.7619 0.9823 0.7028  1 Pt 2.11, 2 Tb 2.32-2.33

---

DFT (PBE) results for a relaxed structure of Na2Tb2PtO6.

Results
Formation energy from raw total energies: -2.14 eV per atom

a b c (Å): 5.7952 5.7952 5.8916
angles (deg): 97.04 97.04 120.36
Closest atoms and distances in Å follow each position.
Sites, in units of the cell vectors:
Na 0.8573 0.1427 0.0000  4 O 2.36-2.43
Na 0.1427 0.8573 0.0000  4 O 2.36-2.43
Tb 0.3374 0.6626 0.5000  6 O 2.28-2.31
Tb 0.6626 0.3374 0.5000  6 O 2.28-2.31
Pt 0.0000 0.0000 0.5000  6 O 2.09-2.11
O 0.7512 0.7512 0.7041  1 Pt 2.09, 2 Tb 2.31
O 0.0393 0.3546 0.6931  1 Pt 2.11, 2 Tb 2.28-2.31
O 0.2488 0.2488 0.2959  1 Pt 2.09, 2 Tb 2.31
O 0.3546 0.0393 0.6931  1 Pt 2.11, 2 Tb 2.28-2.31
O 0.9607 0.6454 0.3069  1 Pt 2.11, 2 Tb 2.28-2.31
O 0.6454 0.9607 0.3069  1 Pt 2.11, 2 Tb 2.28-2.31

---

DFT (PBE) results for a relaxed structure of Na2TbPtO4.

Results
Formation energy from raw total energies: -1.74 eV per atom

a b c (Å): 3.2914 5.6997 6.1138
angles (deg): 111.73 90.00 90.00
Closest atoms and distances in Å follow each position.
Sites, in units of the cell vectors:
Na 0.5000 0.0000 0.5000  6 O 2.42-2.56
Na 0.0000 0.5000 0.5000  6 O 2.32-2.59
Tb 0.5000 0.5000 0.0000  6 O 2.26-2.38
Pt 0.0000 0.0000 0.0000  4 O 2.11
O 0.5000 0.2069 0.1936  2 Pt 2.11
O 0.5000 0.7931 0.8064  2 Pt 2.11
O 0.0000 0.2826 0.7539  2 Tb 2.26, 3 Na 2.32-2.42
O 0.0000 0.7174 0.2461  2 Tb 2.26, 3 Na 2.32-2.42

---

DFT (PBE) results for a relaxed structure of Na4Tb3PtO8.

Results
Formation energy from raw total energies: -2.25 eV per atom

a b c (Å): 6.6591 6.7601 6.8080
angles (deg): 118.90 119.28 90.00
Closest atoms and distances in Å follow each position.
Sites, in units of the cell vectors:
Na 0.5000 0.0000 0.0000  2 O 2.32
Na 0.5000 0.0000 0.5000  6 O 2.48-2.62
Na 0.0000 0.0000 0.0000  6 O 2.46-2.67
Na 0.0000 0.0000 0.5000  6 O 2.48-2.62
Tb 0.5000 0.5000 0.0000  6 O 2.29-2.32
Tb 0.5000 0.5000 0.5000  6 O 2.28-2.35
Tb 0.0000 0.5000 0.5000  6 O 2.28-2.35
Pt 0.0000 0.5000 0.0000  4 O 2.14
O 0.2180 0.7048 0.9728  1 Pt 2.14, 2 Tb 2.32-2.35
O 0.2663 0.7458 0.5326  2 Tb 2.28, 3 Na 2.32-2.48
O 0.2689 0.2895 0.5378  3 Tb 2.28-2.29, 2 Na 2.48
O 0.7548 0.7048 0.9728  1 Pt 2.14, 2 Tb 2.32-2.35
O 0.2452 0.2952 0.0272  1 Pt 2.14, 2 Tb 2.32-2.35
O 0.7311 0.7105 0.4622  3 Tb 2.28-2.29, 2 Na 2.48
O 0.7337 0.2542 0.4674  2 Tb 2.28, 3 Na 2.32-2.48
O 0.7820 0.2952 0.0272  1 Pt 2.14, 2 Tb 2.32-2.35

---

Q: formation energy from raw total energies of number 3 (Na2TbPtO4)?
A: -1.74 eV per atom